# TlHgPb2 GGA-PBE relaxed
# Magnetization (μB/atom): 0.0000
# ΔH_f (0 K) (eV per atom): 0.03
data_TlHgPb2
_chemical_formula_sum 'Tl1 Hg1 Pb2'
_cell_length_a 3.6000
_cell_length_b 3.6000
_cell_length_c 9.0519
_cell_angle_alpha 90.00
_cell_angle_beta 90.00
_cell_angle_gamma 90.00
_space_group_name_H-M_alt 'P 4/m m m'
_space_group_IT_number 123
_space_group_name_Hall '-P 4 2'
loop_
_atom_site_label
_atom_site_type_symbol
_atom_site_fract_x
_atom_site_fract_y
_atom_site_fract_z
_atom_site_occupancy
Tl1 Tl 0.0000 0.0000 0.0000 1
Hg1 Hg 0.0000 0.0000 0.5000 1
Pb1 Pb 0.5000 0.5000 0.2633 1